Material: ZnGa2Ge
Method: DFT, GGA-PBE
State: relaxed

Computed properties:
M_tot (μB/f.u.): 0.000
Formation energy from the elements (eV per atom): 0.12
Uncorrected energy (eV per atom): -2.87
Distance to the lowest polymorph of the same formula (kJ/mol of atoms): 1.93

abc: 4.2953 4.0949 4.0949
angles: 90.00 90.00 90.00
Sites, in units of the cell vectors:
Zn 0.5000 0.5000 0.5000
Ga 0.0000 0.0000 0.5000
Ga 0.0000 0.5000 0.0000
Ge 0.5000 0.0000 0.0000

---

Material: ZnGaGe2
Method: DFT, GGA-PBE
State: relaxed

Computed properties:
M_tot (μB/f.u.): 0.000
Formation energy from the elements (eV per atom): 0.22
Uncorrected energy (eV per atom): -3.16
Distance to the lowest polymorph of the same formula (kJ/mol of atoms): 3.72

abc: 4.7061 4.7061 4.7061
angles: 60.00 60.00 60.00
Sites, in units of the cell vectors:
Ge 0.2500 0.2500 0.2500
Ge 0.7500 0.7500 0.7500
Ga 0.5000 0.5000 0.5000
Zn 0.0000 0.0000 0.0000

---

Material: Zn4GaGe
Method: DFT, GGA-PBE
State: relaxed

Computed properties:
M_tot (μB/f.u.): 0.000
Formation energy from the elements (eV per atom): 0.14
Uncorrected energy (eV per atom): -1.98

abc: 5.2487 5.2487 5.2487
angles: 60.00 60.00 60.00
Sites, in units of the cell vectors:
Zn 0.1253 0.6249 0.6249
Zn 0.6249 0.6249 0.6249
Zn 0.6249 0.6249 0.1253
Zn 0.6249 0.1253 0.6249
Ga 0.0000 0.0000 0.0000
Ge 0.2500 0.2500 0.2500

---

Material: ZnGa2Ge2
Method: DFT, GGA-PBE
State: relaxed

Computed properties:
M_tot (μB/f.u.): 0.000
Formation energy from the elements (eV per atom): 0.21
Uncorrected energy (eV per atom): -3.10
Distance to the lowest polymorph of the same formula (kJ/mol of atoms): 0.66

abc: 7.5185 7.5185 3.4224
angles: 90.00 90.00 90.00
Sites, in units of the cell vectors:
Ge 0.6469 0.1469 0.0000
Ge 0.8531 0.6469 0.0000
Ge 0.1469 0.3531 0.0000
Ge 0.3531 0.8531 0.0000
Zn 0.0000 0.0000 0.0000
Zn 0.5000 0.5000 0.0000
Ga 0.3491 0.1509 0.5000
Ga 0.6509 0.8491 0.5000
Ga 0.8491 0.3491 0.5000
Ga 0.1509 0.6509 0.5000

---

> M_tot of number 2 (ZnGaGe2)?

0.000 μB/f.u.